No. 1
Here is TiBiPb after structural relaxation from the Alexandria database. Energies are from PBE-GGA.

Properties
- E_tot (hartree per atom) = -0.18929
- space group = C2/m, No. 12
- ΔE_f (meV/atom) = 11
- DOS at the Fermi energy (states/eV/f.u.) = 2.635
- density (g cm⁻³) = 9.56
- relative energy among the computed polymorphs (meV per atom) = 0

Cell lengths 8.069, 8.069, 4.904 Å; angles 90.05, 90.05, 30.33 degrees
Fractional positions:
Ti 0.245 0.245 0.250
Ti 0.755 0.755 0.750
Bi 0.127 0.127 0.749
Bi 0.873 0.873 0.251
Pb 0.407 0.407 0.751
Pb 0.593 0.593 0.249

No. 2
Here is Ti2BiPb after structural relaxation from the Alexandria database. Energies are from PBE-GGA.

Properties
- E_tot (hartree per atom) = -0.20890
- space group = Fm-3m, No. 225
- ΔE_f (meV/atom) = 160
- DOS at the Fermi energy (states/eV/f.u.) = 5.542
- density (g cm⁻³) = 9.81
- relative energy among the computed polymorphs (meV per atom) = 47

Cell lengths 4.967, 4.967, 4.967 Å; angles 60.00, 60.00, 60.00 degrees
Fractional positions:
Ti 0.250 0.250 0.250
Ti 0.750 0.750 0.750
Bi 0.000 0.000 0.000
Pb 0.500 0.500 0.500

No. 3
Here is TiBiPb3 after structural relaxation from the Alexandria database. Energies are from PBE-GGA.

Properties
- E_tot (hartree per atom) = -0.15575
- space group = Pm-3m, No. 221
- ΔE_f (meV/atom) = 342
- DOS at the Fermi energy (states/eV/f.u.) = 3.949
- density (g cm⁻³) = 8.91
- relative energy among the computed polymorphs (meV per atom) = 0

Cell lengths 5.471, 5.471, 5.471 Å; angles 90.00, 90.00, 90.00 degrees
Fractional positions:
Ti 0.000 0.000 0.000
Bi 0.500 0.500 0.500
Pb 0.000 0.000 0.500
Pb 0.000 0.500 0.000
Pb 0.500 0.000 0.000

No. 4
Here is Ti2BiPb after structural relaxation from the Alexandria database. Energies are from PBE-GGA.

Properties
- E_tot (hartree per atom) = -0.20968
- space group = R-3m, No. 166
- ΔE_f (meV/atom) = 139
- DOS at the Fermi energy (states/eV/f.u.) = 3.561
- density (g cm⁻³) = 9.02
- relative energy among the computed polymorphs (meV per atom) = 26

Cell lengths 7.027, 7.027, 7.027 Å; angles 33.53, 33.53, 33.53 degrees
Fractional positions:
Ti 0.248 0.248 0.248
Ti 0.752 0.752 0.752
Bi 0.000 0.000 0.000
Pb 0.500 0.500 0.500

No. 5
Here is Ti7Bi2Pb2 after structural relaxation from the Alexandria database. Energies are from PBE-GGA.

Properties
- E_tot (hartree per atom) = -0.23129
- space group = C2/m, No. 12
- ΔE_f (meV/atom) = 110
- DOS at the Fermi energy (states/eV/f.u.) = 14.381
- density (g cm⁻³) = 8.28

Cell lengths 6.991, 6.991, 5.476 Å; angles 109.81, 109.81, 91.00 degrees
Fractional positions:
Ti 0.000 0.000 0.000
Ti 0.068 0.595 0.790
Ti 0.267 0.267 0.524
Ti 0.405 0.932 0.210
Ti 0.595 0.068 0.790
Ti 0.733 0.733 0.476
Ti 0.932 0.405 0.210
Bi 0.355 0.355 0.112
Bi 0.645 0.645 0.888
Pb 0.172 0.828 0.500
Pb 0.828 0.172 0.500

No. 6
Here is Ti2BiPb after structural relaxation from the Alexandria database. Energies are from PBE-GGA.

Properties
- E_tot (hartree per atom) = -0.21063
- space group = Pnma, No. 62
- ΔE_f (meV/atom) = 113
- DOS at the Fermi energy (states/eV/f.u.) = 3.894
- density (g cm⁻³) = 9.41
- relative energy among the computed polymorphs (meV per atom) = 0

Cell lengths 6.711, 8.079, 6.662 Å; angles 90.00, 90.00, 90.00 degrees
Fractional positions:
Ti 0.229 0.046 0.045
Ti 0.229 0.454 0.045
Ti 0.271 0.546 0.545
Ti 0.271 0.954 0.545
Ti 0.729 0.046 0.455
Ti 0.729 0.454 0.455
Ti 0.771 0.546 0.955
Ti 0.771 0.954 0.955
Bi 0.097 0.750 0.844
Bi 0.403 0.250 0.344
Bi 0.597 0.750 0.656
Bi 0.903 0.250 0.156
Pb 0.027 0.250 0.681
Pb 0.473 0.750 0.181
Pb 0.527 0.250 0.819
Pb 0.973 0.750 0.319

No. 7
Here is Ti6BiPb after structural relaxation from the Alexandria database. Energies are from PBE-GGA.

Properties
- E_tot (hartree per atom) = -0.25587
- space group = Amm2, No. 38
- ΔE_f (meV/atom) = -93
- DOS at the Fermi energy (states/eV/f.u.) = 7.992
- density (g cm⁻³) = 7.81

Cell lengths 4.815, 5.857, 5.857 Å; angles 64.90, 90.00, 90.00 degrees
Fractional positions:
Ti 0.000 0.000 0.000
Ti 0.000 0.481 0.952
Ti 0.000 0.952 0.481
Ti 0.500 0.253 0.253
Ti 0.500 0.302 0.774
Ti 0.500 0.774 0.302
Bi 0.500 0.800 0.800
Pb 0.000 0.454 0.454

No. 8
Here is Ti6Bi3Pb after structural relaxation from the Alexandria database. Energies are from PBE-GGA.

Properties
- E_tot (hartree per atom) = -0.23061
- space group = Cmc2_1, No. 36
- ΔE_f (meV/atom) = -3
- DOS at the Fermi energy (states/eV/f.u.) = 8.848
- density (g cm⁻³) = 8.58

Cell lengths 8.098, 8.098, 7.327 Å; angles 90.00, 90.00, 115.36 degrees
Fractional positions:
Ti 0.003 0.561 0.515
Ti 0.053 0.947 0.500
Ti 0.213 0.400 0.328
Ti 0.256 0.744 0.237
Ti 0.400 0.213 0.828
Ti 0.439 0.997 0.515
Ti 0.561 0.003 0.015
Ti 0.600 0.787 0.328
Ti 0.744 0.256 0.737
Ti 0.787 0.600 0.828
Ti 0.947 0.053 0.000
Ti 0.997 0.439 0.015
Bi 0.118 0.304 0.697
Bi 0.304 0.118 0.197
Bi 0.428 0.572 0.006
Bi 0.572 0.428 0.506
Bi 0.696 0.882 0.697
Bi 0.882 0.696 0.197
Pb 0.186 0.814 0.817
Pb 0.814 0.186 0.317

No. 9
Here is YTiBiPb2 after structural relaxation from the Alexandria database. Energies are from PBE-GGA.

Properties
- E_tot (hartree per atom) = -0.17871
- space group = P4/mmm, No. 123
- ΔE_f (meV/atom) = 268
- DOS at the Fermi energy (states/eV/f.u.) = 4.488
- density (g cm⁻³) = 8.04

Cell lengths 5.416, 5.416, 5.354 Å; angles 90.00, 90.00, 90.00 degrees
Fractional positions:
Y 0.000 0.000 0.000
Ti 0.000 0.000 0.500
Bi 0.500 0.500 0.000
Pb 0.000 0.500 0.500
Pb 0.500 0.000 0.500

No. 10
Here is Tl3BiPb2 after structural relaxation from the Alexandria database. Energies are from PBE-GGA.

Properties
- E_tot (hartree per atom) = -0.11292
- space group = Fddd, No. 70
- ΔE_f (meV/atom) = -7
- DOS at the Fermi energy (states/eV/f.u.) = 2.669
- density (g cm⁻³) = 10.80
- relative energy among the computed polymorphs (meV per atom) = 0

Cell lengths 11.735, 11.334, 6.057 Å; angles 78.47, 71.15, 30.38 degrees
Fractional positions:
Tl 0.125 0.125 0.125
Tl 0.208 0.208 0.542
Tl 0.458 0.458 0.792
Tl 0.542 0.542 0.208
Tl 0.792 0.792 0.458
Tl 0.875 0.875 0.875
Bi 0.375 0.375 0.375
Bi 0.625 0.625 0.625
Pb 0.043 0.043 0.707
Pb 0.293 0.293 0.957
Pb 0.707 0.707 0.043
Pb 0.957 0.957 0.293

No. 11
Here is Tl3Bi2Pb7 after structural relaxation from the Alexandria database. Energies are from PBE-GGA.

Properties
- E_tot (hartree per atom) = -0.12367
- space group = P2/m, No. 10
- ΔE_f (meV/atom) = 36
- DOS at the Fermi energy (states/eV/f.u.) = 3.854
- density (g cm⁻³) = 10.55
- relative energy among the computed polymorphs (meV per atom) = 0

Cell lengths 5.914, 3.456, 19.100 Å; angles 90.00, 90.15, 90.00 degrees
Fractional positions:
Tl 0.000 0.000 0.000
Tl 0.270 0.500 0.638
Tl 0.730 0.500 0.362
Bi 0.226 0.000 0.297
Bi 0.774 0.000 0.703
Pb 0.173 0.500 0.146
Pb 0.250 0.000 0.464
Pb 0.323 0.000 0.816
Pb 0.500 0.500 0.000
Pb 0.677 0.000 0.184
Pb 0.750 0.000 0.536
Pb 0.827 0.500 0.854

No. 12
Here is Tl15Bi2Pb2 after structural relaxation from the Alexandria database. Energies are from PBE-GGA.

Properties
- E_tot (hartree per atom) = -0.09519
- space group = R-3m, No. 166
- ΔE_f (meV/atom) = 77
- DOS at the Fermi energy (states/eV/f.u.) = 10.380
- density (g cm⁻³) = 9.87

Cell lengths 8.804, 8.804, 8.804 Å; angles 80.30, 80.30, 80.30 degrees
Fractional positions:
Tl 0.000 0.000 0.500
Tl 0.000 0.317 0.683
Tl 0.000 0.500 0.000
Tl 0.000 0.683 0.317
Tl 0.153 0.655 0.655
Tl 0.317 0.000 0.683
Tl 0.317 0.683 0.000
Tl 0.345 0.345 0.847
Tl 0.345 0.847 0.345
Tl 0.500 0.000 0.000
Tl 0.655 0.153 0.655
Tl 0.655 0.655 0.153
Tl 0.683 0.000 0.317
Tl 0.683 0.317 0.000
Tl 0.847 0.345 0.345
Bi 0.271 0.271 0.271
Bi 0.729 0.729 0.729
Pb 0.094 0.094 0.094
Pb 0.906 0.906 0.906

No. 13
Here is Tl12Bi2Pb5 after structural relaxation from the Alexandria database. Energies are from PBE-GGA.

Properties
- E_tot (hartree per atom) = -0.10554
- space group = C2/m, No. 12
- ΔE_f (meV/atom) = 7
- DOS at the Fermi energy (states/eV/f.u.) = 9.685
- density (g cm⁻³) = 10.57
- relative energy among the computed polymorphs (meV per atom) = 0

Cell lengths 13.469, 13.469, 4.943 Å; angles 100.57, 100.57, 44.28 degrees
Fractional positions:
Tl 0.048 0.553 0.800
Tl 0.088 0.088 0.089
Tl 0.146 0.661 0.403
Tl 0.339 0.854 0.597
Tl 0.398 0.398 0.899
Tl 0.447 0.952 0.200
Tl 0.553 0.048 0.800
Tl 0.602 0.602 0.101
Tl 0.661 0.146 0.403
Tl 0.854 0.339 0.597
Tl 0.912 0.912 0.911
Tl 0.952 0.447 0.200
Bi 0.259 0.741 0.000
Bi 0.741 0.259 0.000
Pb 0.201 0.201 0.702
Pb 0.297 0.297 0.298
Pb 0.500 0.500 0.500
Pb 0.703 0.703 0.702
Pb 0.799 0.799 0.298

No. 14
Here is Tl2Bi2Pb7 after structural relaxation from the Alexandria database. Energies are from PBE-GGA.

Properties
- E_tot (hartree per atom) = -0.12688
- space group = C2/m, No. 12
- ΔE_f (meV/atom) = 43
- DOS at the Fermi energy (states/eV/f.u.) = 4.667
- density (g cm⁻³) = 10.28
- relative energy among the computed polymorphs (meV per atom) = 0

Cell lengths 8.045, 8.045, 6.433 Å; angles 108.86, 108.86, 92.38 degrees
Fractional positions:
Tl 0.173 0.827 0.000
Tl 0.827 0.173 0.000
Bi 0.274 0.274 0.048
Bi 0.726 0.726 0.952
Pb 0.000 0.000 0.500
Pb 0.077 0.582 0.337
Pb 0.385 0.385 0.657
Pb 0.418 0.923 0.663
Pb 0.582 0.077 0.337
Pb 0.615 0.615 0.343
Pb 0.923 0.418 0.663

No. 15
Here is Tl3BiPb3 after structural relaxation from the Alexandria database. Energies are from PBE-GGA.

Properties
- E_tot (hartree per atom) = -0.09260
- space group = Pm-3n, No. 223
- ΔE_f (meV/atom) = 638
- DOS at the Fermi energy (states/eV/f.u.) = 6.327
- density (g cm⁻³) = 7.96
- relative energy among the computed polymorphs (meV per atom) = 588

Cell lengths 8.445, 8.445, 8.445 Å; angles 90.00, 90.00, 90.00 degrees
Fractional positions:
Tl 0.000 0.250 0.500
Tl 0.000 0.750 0.500
Tl 0.250 0.500 0.000
Tl 0.500 0.000 0.250
Tl 0.500 0.000 0.750
Tl 0.750 0.500 0.000
Bi 0.000 0.000 0.000
Bi 0.500 0.500 0.500
Pb 0.000 0.500 0.250
Pb 0.000 0.500 0.750
Pb 0.250 0.000 0.500
Pb 0.500 0.250 0.000
Pb 0.500 0.750 0.000
Pb 0.750 0.000 0.500

No. 16
Here is Tl3Bi4Pb3 after structural relaxation from the Alexandria database. Energies are from PBE-GGA.

Properties
- E_tot (hartree per atom) = -0.12242
- space group = Amm2, No. 38
- ΔE_f (meV/atom) = 43
- DOS at the Fermi energy (states/eV/f.u.) = 4.816
- density (g cm⁻³) = 10.02

Cell lengths 4.247, 8.987, 8.987 Å; angles 89.65, 90.00, 90.00 degrees
Fractional positions:
Tl 0.000 0.000 0.000
Tl 0.500 0.340 0.841
Tl 0.500 0.841 0.340
Bi 0.500 0.215 0.215
Bi 0.500 0.471 0.471
Bi 0.500 0.703 0.970
Bi 0.500 0.970 0.703
Pb 0.000 0.183 0.501
Pb 0.000 0.501 0.183
Pb 0.000 0.690 0.690

No. 17
Here is TlBiPb4 after structural relaxation from the Alexandria database. Energies are from PBE-GGA.

Properties
- E_tot (hartree per atom) = -0.12856
- space group = P2/m, No. 10
- ΔE_f (meV/atom) = 15
- DOS at the Fermi energy (states/eV/f.u.) = 3.086
- density (g cm⁻³) = 10.83
- relative energy among the computed polymorphs (meV per atom) = 0

Cell lengths 6.325, 3.493, 8.810 Å; angles 90.00, 102.01, 90.00 degrees
Fractional positions:
Tl 0.000 0.000 0.000
Bi 0.500 0.500 0.000
Pb 0.214 0.000 0.668
Pb 0.295 0.500 0.336
Pb 0.705 0.500 0.664
Pb 0.786 0.000 0.332

No. 18
Here is TlBi2Pb5 after structural relaxation from the Alexandria database. Energies are from PBE-GGA.

Properties
- E_tot (hartree per atom) = -0.13176
- space group = I4mm, No. 107
- ΔE_f (meV/atom) = -2
- DOS at the Fermi energy (states/eV/f.u.) = 2.754
- density (g cm⁻³) = 10.85
- relative energy among the computed polymorphs (meV per atom) = 0

Cell lengths 7.078, 7.078, 7.078 Å; angles 119.17, 119.17, 91.45 degrees
Fractional positions:
Tl 0.000 0.000 0.000
Bi 0.000 0.500 0.500
Bi 0.500 0.000 0.500
Pb 0.000 0.000 0.500
Pb 0.000 0.500 0.000
Pb 0.499 0.499 0.000
Pb 0.500 0.000 0.000
Pb 0.500 0.500 0.500

No. 19
Here is Tl4BiPb after structural relaxation from the Alexandria database. Energies are from PBE-GGA.

Properties
- E_tot (hartree per atom) = -0.09999
- space group = F-43m, No. 216
- ΔE_f (meV/atom) = 122
- DOS at the Fermi energy (states/eV/f.u.) = 4.261
- density (g cm⁻³) = 10.63
- relative energy among the computed polymorphs (meV per atom) = 118

Cell lengths 6.484, 6.484, 6.484 Å; angles 60.00, 60.00, 60.00 degrees
Fractional positions:
Tl 0.125 0.125 0.125
Tl 0.125 0.125 0.625
Tl 0.125 0.625 0.125
Tl 0.625 0.125 0.125
Bi 0.500 0.500 0.500
Pb 0.750 0.750 0.750

No. 20
Here is TlBi2Pb2 after structural relaxation from the Alexandria database. Energies are from PBE-GGA.

Properties
- E_tot (hartree per atom) = -0.12691
- space group = I4/mmm, No. 139
- ΔE_f (meV/atom) = 56
- DOS at the Fermi energy (states/eV/f.u.) = 3.715
- density (g cm⁻³) = 9.23
- relative energy among the computed polymorphs (meV per atom) = 21

Cell lengths 8.207, 8.207, 8.207 Å; angles 144.37, 144.37, 51.27 degrees
Fractional positions:
Tl 0.000 0.000 0.000
Bi 0.392 0.392 0.000
Bi 0.608 0.608 0.000
Pb 0.250 0.750 0.500
Pb 0.750 0.250 0.500

No. 21
Here is TlBi4Pb2 after structural relaxation from the Alexandria database. Energies are from PBE-GGA.

Properties
- E_tot (hartree per atom) = -0.12979
- space group = Pbam, No. 55
- ΔE_f (meV/atom) = 83
- DOS at the Fermi energy (states/eV/f.u.) = 3.982
- density (g cm⁻³) = 9.90

Cell lengths 8.353, 13.710, 4.262 Å; angles 90.00, 90.00, 90.00 degrees
Fractional positions:
Tl 0.000 0.000 0.000
Tl 0.500 0.500 0.000
Bi 0.024 0.256 0.000
Bi 0.231 0.373 0.500
Bi 0.269 0.873 0.500
Bi 0.476 0.756 0.000
Bi 0.524 0.244 0.000
Bi 0.731 0.127 0.500
Bi 0.769 0.627 0.500
Bi 0.976 0.744 0.000
Pb 0.190 0.616 0.500
Pb 0.310 0.116 0.500
Pb 0.690 0.884 0.500
Pb 0.810 0.384 0.500

No. 22
Here is Tl3BiPb12 after structural relaxation from the Alexandria database. Energies are from PBE-GGA.

Properties
- E_tot (hartree per atom) = -0.12600
- space group = P4/mmm, No. 123
- ΔE_f (meV/atom) = 39
- DOS at the Fermi energy (states/eV/f.u.) = 12.280
- density (g cm⁻³) = 10.76

Cell lengths 6.046, 6.046, 13.970 Å; angles 90.00, 90.00, 90.00 degrees
Fractional positions:
Tl 0.000 0.000 0.000
Tl 0.000 0.000 0.247
Tl 0.000 0.000 0.753
Bi 0.000 0.000 0.500
Pb 0.000 0.500 0.124
Pb 0.000 0.500 0.379
Pb 0.000 0.500 0.621
Pb 0.000 0.500 0.876
Pb 0.500 0.000 0.124
Pb 0.500 0.000 0.379
Pb 0.500 0.000 0.621
Pb 0.500 0.000 0.876
Pb 0.500 0.500 0.000
Pb 0.500 0.500 0.249
Pb 0.500 0.500 0.500
Pb 0.500 0.500 0.751